[1]
# Na2PaI6 PBE relaxed
# * V: 45.04 Å³ per atom
# * E_form (uncorrected): -1.098 eV per atom
# * crystal system: monoclinic
data_Na2PaI6
_cell_length_a 7.940
_cell_length_b 7.532
_cell_length_c 15.708
_cell_angle_alpha 90.00
_cell_angle_beta 120.34
_cell_angle_gamma 90.00
_symmetry_space_group_name_H-M 'P 1 21/c 1'
_symmetry_Int_Tables_number 14
_symmetry_space_group_name_Hall '-P 2ybc'
loop_
_atom_site_label
_atom_site_fract_x
_atom_site_fract_y
_atom_site_fract_z
Na1 0.173 0.000 0.173
Pa1 0.500 0.000 0.000
I1 0.182 0.236 0.843
I2 0.187 0.733 0.500
I3 0.500 0.231 0.159

[2]
# Na2PaI8 PBE relaxed
# * V: 51.31 Å³ per atom
# * E_form (uncorrected): -0.923 eV per atom
# * crystal system: monoclinic
data_Na2PaI8
_cell_length_a 13.151
_cell_length_b 12.983
_cell_length_c 6.773
_cell_angle_alpha 90.00
_cell_angle_beta 102.53
_cell_angle_gamma 90.00
_symmetry_space_group_name_H-M 'C 1 2/m 1'
_symmetry_Int_Tables_number 12
_symmetry_space_group_name_Hall '-C 2y'
loop_
_atom_site_label
_atom_site_fract_x
_atom_site_fract_y
_atom_site_fract_z
Na1 0.204 0.000 0.077
Pa1 0.000 0.500 0.000
I1 0.003 0.000 0.256
I2 0.102 0.338 0.804
I3 0.185 0.500 0.334

[3]
# Na2PaI8 PBE relaxed
# * V: 47.60 Å³ per atom
# * E_form (uncorrected): -0.851 eV per atom
# * crystal system: monoclinic
data_Na2PaI8
_cell_length_a 13.994
_cell_length_b 10.733
_cell_length_c 6.982
_cell_angle_alpha 90.00
_cell_angle_beta 93.13
_cell_angle_gamma 90.00
_symmetry_space_group_name_H-M 'C 1 2/m 1'
_symmetry_Int_Tables_number 12
_symmetry_space_group_name_Hall '-C 2y'
loop_
_atom_site_label
_atom_site_fract_x
_atom_site_fract_y
_atom_site_fract_z
Na1 0.110 0.000 0.320
Pa1 0.000 0.500 0.500
I1 0.091 0.307 0.270
I2 0.109 0.000 0.776
I3 0.168 0.500 0.774